--- w ---
TcTe2Os after structural relaxation. Source: Alexandria via LeMat-Bulk, functional GGA-PBE.

```
data_TcTe2Os
_chemical_formula_sum 'Tc1 Te2 Os1'
_symmetry_space_group_name_H-M 'P 1'
_symmetry_Int_Tables_number 1
_cell_length_a 4.693
_cell_length_b 4.693
_cell_length_c 4.693
_cell_angle_alpha 60.00
_cell_angle_beta 60.00
_cell_angle_gamma 60.00
loop_
_symmetry_equiv_pos_as_xyz
'x,y,z'
loop_
_atom_site_label
_atom_site_type_symbol
_atom_site_fract_x
_atom_site_fract_y
_atom_site_fract_z
Os1 Os 0.500 0.500 0.500
Tc1 Tc 0.000 0.000 0.000
Te1 Te 0.750 0.750 0.750
Te2 Te 0.250 0.250 0.250
```

Output
magnetic moment	0.00	Bohr magnetons per cell
D(E_F)	5.4	states/eV/cell

--- x ---
TcTe2Os after structural relaxation. Source: Alexandria via LeMat-Bulk, functional GGA-PBE.

```
data_TcTe2Os
_chemical_formula_sum 'Tc1 Te2 Os1'
_symmetry_space_group_name_H-M 'P 1'
_symmetry_Int_Tables_number 1
_cell_length_a 4.498
_cell_length_b 4.498
_cell_length_c 5.594
_cell_angle_alpha 78.00
_cell_angle_beta 78.00
_cell_angle_gamma 42.20
loop_
_symmetry_equiv_pos_as_xyz
'x,y,z'
loop_
_atom_site_label
_atom_site_type_symbol
_atom_site_fract_x
_atom_site_fract_y
_atom_site_fract_z
Tc1 Tc 0.250 0.250 0.250
Os1 Os 0.750 0.750 0.750
Te1 Te 0.503 0.503 0.497
Te2 Te 0.997 0.997 0.003
```

Output
magnetic moment	0.00	Bohr magnetons per cell
D(E_F)	2.2	states/eV/cell

--- y ---
TcTe2Os after structural relaxation. Source: Alexandria via LeMat-Bulk, functional GGA-PBE.

```
data_TcTe2Os
_chemical_formula_sum 'Tc1 Te2 Os1'
_symmetry_space_group_name_H-M 'P 1'
_symmetry_Int_Tables_number 1
_cell_length_a 10.207
_cell_length_b 10.207
_cell_length_c 10.207
_cell_angle_alpha 17.58
_cell_angle_beta 17.58
_cell_angle_gamma 17.58
loop_
_symmetry_equiv_pos_as_xyz
'x,y,z'
loop_
_atom_site_label
_atom_site_type_symbol
_atom_site_fract_x
_atom_site_fract_y
_atom_site_fract_z
Te1 Te 0.229 0.229 0.229
Te2 Te 0.022 0.022 0.022
Tc1 Tc 0.758 0.758 0.758
Os1 Os 0.491 0.491 0.491
```

Output
magnetic moment	0.00	Bohr magnetons per cell
D(E_F)	2.6	states/eV/cell

Which of them is most stable, and which least? Most stable: y; least stable: w.